(1)
A relaxed structure of Pr4Zn3, computed with PBE-GGA.

```
14
Lattice="7.0700 4.0818 2.1652 -7.0700 4.0818 2.1652 0.0000 -8.1637 2.1652" Properties=species:S:1:pos:R:3 pbc="T T T"
Pr 0.0000 0.0000 0.0000
Pr -3.8719 -3.4646 3.1827
Pr -4.9363 1.6209 3.3128
Pr 1.0644 -5.0854 3.3128
Pr 0.0000 0.0000 3.2478
Pr -1.0645 5.0854 3.1827
Pr 4.9363 -1.6209 3.1827
Pr 3.8719 3.4646 3.3128
Zn -0.9368 -2.8111 2.0509
Zn -1.9661 2.2169 2.0509
Zn -2.9029 -0.5942 4.4446
Zn 2.9029 0.5942 2.0509
Zn 1.9661 -2.2169 4.4446
Zn 0.9368 2.8111 4.4446
```

The formation enthalpy at 0 K comes out at -207.5 meV/atom. For the energy above the most stable polymorph in this dataset, the calculation gives 0 meV per atom. The energy is -3.485 eV/atom.

---

(2)
A relaxed structure of NdSmDyEr2, computed with PBE-GGA.

```
10
Lattice="4.2001 -5.7504 0.0000 4.2001 5.7504 0.0000 0.0000 0.0000 7.1690" Properties=species:S:1:pos:R:3 pbc="T T T"
Nd 4.2001 3.1209 5.3767
Nd 4.2001 -3.1209 1.7922
Sm 4.2001 -0.0010 1.7922
Sm 4.2001 0.0010 5.3767
Dy 4.2001 3.2037 1.7922
Dy 4.2001 -3.2037 5.3767
Er 1.5741 0.0000 0.0000
Er 1.5741 0.0000 3.5845
Er 6.8262 0.0000 0.0000
Er 6.8262 0.0000 3.5845
```

The formation enthalpy at 0 K comes out at 381.8 meV/atom. The energy is -4.261 eV/atom.

---

(3)
A relaxed structure of Sc2BeAu, computed with PBE-GGA.

```
4
Lattice="1.6832 0.9718 7.9828 -1.6832 0.9718 7.9828 0.0000 -1.9435 7.9828" Properties=species:S:1:pos:R:3 pbc="T T T"
Sc 0.0000 0.0000 5.8326
Sc 0.0000 0.0000 18.1156
Be 0.0000 0.0000 11.9741
Au 0.0000 0.0000 0.0000
```

The formation enthalpy at 0 K comes out at -91.5 meV/atom. The energy is -5.008 eV/atom.

---

(4)
A relaxed structure of SiAgSe2, computed with PBE-GGA.

```
4
Lattice="1.6387 -2.8442 0.0000 1.6387 2.8442 0.0000 0.0000 0.0000 9.4653" Properties=species:S:1:pos:R:3 pbc="T T T"
Si 0.0000 0.0000 0.0000
Ag 1.6387 0.0000 7.2663
Se 0.0000 0.0000 5.0666
Se 1.6387 0.0000 1.6793
```

As for the uncorrected formation energy: 331 meV/atom. The energy is -3.480 eV/atom.

---

(5)
A relaxed structure of MgCu2Au2, computed with PBE-GGA.

```
5
Lattice="-1.9720 1.9720 5.7429 1.9720 -1.9720 5.7429 1.9720 1.9720 -5.7429" Properties=species:S:1:pos:R:3 pbc="T T T"
Mg 0.0000 0.0000 0.0000
Cu 0.0000 0.0000 4.5989
Cu 0.0000 0.0000 6.8869
Au 1.9720 0.0000 2.8714
Au 0.0000 1.9720 2.8714
```

The formation enthalpy at 0 K comes out at -3.5 meV/atom. For the energy above the most stable polymorph in this dataset, the calculation gives 232 meV per atom. The energy is -3.272 eV/atom.

---

(6)
A relaxed structure of La2TbCeTl4, computed with PBE-GGA.

```
8
Lattice="2.7739 1.6015 9.0993 -2.7739 1.6015 9.0993 0.0000 -3.2030 9.0993" Properties=species:S:1:pos:R:3 pbc="T T T"
La 0.0000 0.0000 6.7973
La 0.0000 0.0000 20.5006
Tb 0.0000 0.0000 13.6489
Ce 0.0000 0.0000 0.0000
Tl 0.0000 0.0000 3.4339
Tl 0.0000 0.0000 10.2595
Tl 0.0000 0.0000 17.0384
Tl 0.0000 0.0000 23.8640
```

The formation enthalpy at 0 K comes out at -342.3 meV/atom. The energy is -4.078 eV/atom.

---

(7)
A relaxed structure of Rb2Cd2Se3, computed with PBE-GGA.

```
7
Lattice="7.5522 -2.2226 0.0000 7.5522 2.2226 0.0000 -4.9338 0.0000 7.1333" Properties=species:S:1:pos:R:3 pbc="T T T"
Rb -0.7392 0.0000 2.4072
Rb 10.9098 0.0000 4.7261
Cd 0.0477 0.0000 6.5756
Cd 10.1229 0.0000 0.5577
Se 3.5209 0.0000 1.8259
Se 7.5522 0.0000 0.0000
Se 6.6497 0.0000 5.3074
```

For the energy above the most stable polymorph in this dataset, the calculation gives 24 meV per atom. As for the uncorrected formation energy: -875 meV/atom. The energy is -2.906 eV/atom.

---

(8)
A relaxed structure of ScTl2Se, computed with PBE-GGA.

```
4
Lattice="-2.2894 2.2894 4.6823 2.2894 -2.2894 4.6823 2.2894 2.2894 -4.6823" Properties=species:S:1:pos:R:3 pbc="T T T"
Sc 0.0000 0.0000 0.0000
Tl 0.0000 0.0000 4.6823
Tl 0.0000 2.2894 2.3412
Se 2.2894 0.0000 2.3412
```

As for the uncorrected formation energy: -284 meV/atom. The energy is -3.921 eV/atom.